# PBE with a Hubbard U Na3MnO, optimized geometry
data_Na3MnO
_cell_length_a 4.799
_cell_length_b 4.799
_cell_length_c 4.799
_cell_angle_alpha 90.00
_cell_angle_beta 90.00
_cell_angle_gamma 90.00
_symmetry_space_group_name_H-M 'P 1'
_symmetry_Int_Tables_number 1
loop_
_symmetry_equiv_pos_as_xyz
'x,y,z'
loop_
_atom_site_label
_atom_site_fract_x
_atom_site_fract_y
_atom_site_fract_z
Na1 0.000 0.000 0.500
Na2 0.000 0.500 0.000
Na3 0.500 0.000 0.000
Mn1 0.500 0.500 0.500
O1 0.000 0.000 0.000
# Spin magnetization, μB per formula unit: 5.58
# ΔE to the lowest computed polymorph, eV/f.u.: 0.00
# Crystal system: cubic
# Calculated total energy, eV for the cell shown: -17.7